1.
# La2CeCu, relaxed, DFT PBE-GGA
data_La2CeCu
_chemical_formula_sum 'La6 Ce3 Cu3'
_symmetry_space_group_name_H-M 'R 3 m'
_symmetry_Int_Tables_number 160
_symmetry_space_group_name_Hall 'R 3 -2"'
_cell_length_a 3.7089
_cell_length_b 3.7089
_cell_length_c 30.3047
_cell_angle_alpha 90.00
_cell_angle_beta 90.00
_cell_angle_gamma 120.00
loop_
_atom_site_label
_atom_site_type_symbol
_atom_site_fract_x
_atom_site_fract_y
_atom_site_fract_z
La1 La 0.0000 0.0000 0.0000
La2 La 0.0000 0.0000 0.1936
Ce1 Ce 0.0000 0.0000 0.4290
Cu1 Cu 0.0000 0.0000 0.5970
# **Calculated formation energy**: 0.1174 eV per atom
# **Raw total energy**: -4.854 eV per atom
# **Relative energy among the computed polymorphs**: 136 meV per atom
# **Total moment**: 0.3374 μB per atom

=====

2.
# LaCe2Cu, relaxed, DFT PBE-GGA
data_LaCe2Cu
_chemical_formula_sum 'La3 Ce6 Cu3'
_symmetry_space_group_name_H-M 'R -3 m'
_symmetry_Int_Tables_number 166
_symmetry_space_group_name_Hall '-R 3 2"'
_cell_length_a 3.2718
_cell_length_b 3.2718
_cell_length_c 33.2125
_cell_angle_alpha 90.00
_cell_angle_beta 90.00
_cell_angle_gamma 120.00
loop_
_atom_site_label
_atom_site_type_symbol
_atom_site_fract_x
_atom_site_fract_y
_atom_site_fract_z
La1 La 0.0000 0.0000 0.0000
Ce1 Ce 0.0000 0.0000 0.0980
Cu1 Cu 0.0000 0.0000 0.5000
# **Calculated formation energy**: 0.2430 eV per atom
# **Raw total energy**: -4.980 eV per atom
# **Relative energy among the computed polymorphs**: 207 meV per atom
# **Total moment**: 0.0102 μB per atom

=====

3.
# LaCeCu4, relaxed, DFT PBE-GGA
data_LaCeCu4
_chemical_formula_sum 'La4 Ce4 Cu16'
_symmetry_space_group_name_H-M 'F -4 3 m'
_symmetry_Int_Tables_number 216
_symmetry_space_group_name_Hall 'F -4 2 3'
_cell_length_a 7.5586
_cell_length_b 7.5586
_cell_length_c 7.5586
_cell_angle_alpha 90.00
_cell_angle_beta 90.00
_cell_angle_gamma 90.00
loop_
_atom_site_label
_atom_site_type_symbol
_atom_site_fract_x
_atom_site_fract_y
_atom_site_fract_z
La1 La 0.0000 0.0000 0.0000
Ce1 Ce 0.2500 0.2500 0.2500
Cu1 Cu 0.1247 0.1247 0.6247
# **Calculated formation energy**: -0.0596 eV per atom
# **Raw total energy**: -4.601 eV per atom
# **Relative energy among the computed polymorphs**: 83 meV per atom
# **Total moment**: 0.1672 μB per atom